Here is crystalline Pm4TmAg5 at its relaxed geometry from Alexandria. Energies are from PBE.

## Properties
- M_tot: 0.0 μB per formula unit
- ΔH_f (0 K): -275.1 kJ/mol of formula units
- Space group: P4/mmm (123)

Unit cell a=3.6652 b=3.6652 c=18.8735 alpha=90.00 beta=90.00 gamma=90.00
Last column: nearest neighbours and their distance in Å.
Fractional positions:
Ag 0.5000 0.5000 0.5000  8 Pm 3.22
Ag 0.5000 0.5000 0.9097  4 Tm 3.10, 4 Pm 3.26, 1 Ag 3.41
Ag 0.5000 0.5000 0.0903  4 Tm 3.10, 4 Pm 3.26, 1 Ag 3.41
Ag 0.5000 0.5000 0.2973  8 Pm 3.22-3.23
Ag 0.5000 0.5000 0.7027  8 Pm 3.22-3.23
Pm 0.0000 0.0000 0.6012  8 Ag 3.22
Pm 0.0000 0.0000 0.8048  8 Ag 3.23-3.26
Pm 0.0000 0.0000 0.1952  8 Ag 3.23-3.26
Pm 0.0000 0.0000 0.3988  8 Ag 3.22
Tm 0.0000 0.0000 0.0000  8 Ag 3.10


Here is crystalline Pm2TmAg at its relaxed geometry from Alexandria. Energies are from PBE.

## Properties
- M_tot: 0.0 μB per formula unit
- ΔH_f (0 K): 96.1 kJ/mol of formula units
- Space group: R-3m (166)
- Relative energy among the computed polymorphs: 34.96 kJ per mole of atoms

Unit cell a=3.4651 b=3.4651 c=11.9723 alpha=81.68 beta=81.68 gamma=60.00
Last column: nearest neighbours and their distance in Å.
Fractional positions:
Pm 0.0857 0.0857 0.7429  1 Ag 3.04
Pm 0.9143 0.9143 0.2571  1 Ag 3.04
Tm 0.5000 0.5000 0.5000  6 Tm 3.47, 6 Pm 3.50
Ag 0.0000 0.0000 0.0000  2 Pm 3.04


Here is crystalline PmTmAg2 at its relaxed geometry from Alexandria. Energies are from PBE.

## Properties
- M_tot: 0.0 μB per formula unit
- ΔH_f (0 K): -112.9 kJ/mol of formula units
- Space group: Fm-3m (225)
- Relative energy among the computed polymorphs: 1.55 kJ per mole of atoms

Unit cell a=5.1840 b=5.1840 c=5.1840 alpha=60.00 beta=60.00 gamma=60.00
Last column: nearest neighbours and their distance in Å.
Fractional positions:
Ag 0.7500 0.7500 0.7500  4 Tm 3.17, 4 Pm 3.17
Ag 0.2500 0.2500 0.2500  4 Pm 3.17, 4 Tm 3.17
Tm 0.5000 0.5000 0.5000  8 Ag 3.17
Pm 0.0000 0.0000 0.0000  8 Ag 3.17


Here is crystalline PmTm2Ag at its relaxed geometry from Alexandria. Energies are from PBE.

## Properties
- M_tot: 0.0 μB per formula unit
- ΔH_f (0 K): 39.1 kJ/mol of formula units
- Space group: Fm-3m (225)
- Relative energy among the computed polymorphs: 23.18 kJ per mole of atoms

Unit cell a=5.3590 b=5.3590 c=5.3590 alpha=60.00 beta=60.00 gamma=60.00
Last column: nearest neighbours and their distance in Å.
Fractional positions:
Tm 0.7500 0.7500 0.7500  4 Ag 3.28, 4 Pm 3.28
Tm 0.2500 0.2500 0.2500  4 Pm 3.28, 4 Ag 3.28
Ag 0.5000 0.5000 0.5000  8 Tm 3.28
Pm 0.0000 0.0000 0.0000  8 Tm 3.28


Here is crystalline Pm2TmAg at its relaxed geometry from Alexandria. Energies are from PBE.

## Properties
- M_tot: 0.0 μB per formula unit
- ΔH_f (0 K): 0.5 kJ/mol of formula units
- Space group: R3m (160)
- Relative energy among the computed polymorphs: 11.05 kJ per mole of atoms

Unit cell a=3.6146 b=3.6146 c=10.7625 alpha=80.33 beta=80.33 gamma=60.00
Last column: nearest neighbours and their distance in Å.
Fractional positions:
Ag 0.6672 0.6672 0.9984  6 Pm 3.19-3.22
Pm 0.0766 0.0766 0.7704  3 Ag 3.19, 3 Tm 3.53
Pm 0.2567 0.2567 0.2300  3 Ag 3.22, 3 Tm 3.54
Tm 0.4996 0.4996 0.5012  6 Pm 3.53-3.54, 6 Tm 3.61


Here is crystalline Pm5TmAg4 at its relaxed geometry from Alexandria. Energies are from PBE.

## Properties
- M_tot: 0.0 μB per formula unit
- ΔH_f (0 K): -196.5 kJ/mol of formula units
- Space group: P4/mmm (123)

Unit cell a=3.6940 b=3.6940 c=20.0160 alpha=90.00 beta=90.00 gamma=90.00
Last column: nearest neighbours and their distance in Å.
Fractional positions:
Ag 0.0000 0.0000 0.7856  8 Pm 3.21-3.24
Ag 0.0000 0.0000 0.2144  8 Pm 3.21-3.24
Ag 0.0000 0.0000 0.4055  8 Pm 3.23-3.24
Ag 0.0000 0.0000 0.5945  8 Pm 3.23-3.24
Pm 0.5000 0.5000 0.1212  4 Ag 3.21, 4 Tm 3.56
Pm 0.5000 0.5000 0.5000  8 Ag 3.23
Pm 0.5000 0.5000 0.3100  8 Ag 3.24
Pm 0.5000 0.5000 0.6900  8 Ag 3.24
Pm 0.5000 0.5000 0.8788  4 Ag 3.21, 4 Tm 3.56
Tm 0.0000 0.0000 0.0000  8 Pm 3.56, 4 Tm 3.69


Here is crystalline PmTm2Ag6 at its relaxed geometry from Alexandria. Energies are from PBE.

## Properties
- M_tot: 0.0 μB per formula unit
- ΔH_f (0 K): -174.5 kJ/mol of formula units
- Space group: C2/c (15)

Unit cell a=5.3041 b=8.8945 c=8.8945 alpha=75.56 beta=81.69 gamma=81.69
Last column: nearest neighbours and their distance in Å.
Fractional positions:
Ag 0.8071 0.0160 0.7516  2 Tm 3.00-3.07, 5 Ag 3.04-3.21, 3 Pm 3.10-3.24
Ag 0.4686 0.6746 0.4354  5 Ag 3.01-3.12, 4 Tm 3.06-3.08, 1 Pm 3.18
Ag 0.1929 0.9840 0.2484  2 Tm 3.00-3.07, 5 Ag 3.04-3.21, 3 Pm 3.10-3.24
Ag 0.8564 0.6463 0.8990  5 Ag 3.01-3.21, 4 Tm 3.01-3.12, 1 Pm 3.14
Ag 0.9686 0.4354 0.6746  5 Ag 3.01-3.12, 4 Tm 3.06-3.08, 1 Pm 3.18
Ag 0.3071 0.7516 0.0160  2 Tm 3.00-3.07, 5 Ag 3.04-3.21, 3 Pm 3.10-3.24
Ag 0.6929 0.2484 0.9840  2 Tm 3.00-3.07, 5 Ag 3.04-3.21, 3 Pm 3.10-3.24
Ag 0.3564 0.8990 0.6463  5 Ag 3.01-3.21, 4 Tm 3.01-3.12, 1 Pm 3.14
Ag 0.0314 0.5646 0.3254  5 Ag 3.01-3.12, 4 Tm 3.06-3.08, 1 Pm 3.18
Ag 0.5314 0.3254 0.5646  5 Ag 3.01-3.12, 4 Tm 3.06-3.08, 1 Pm 3.18
Ag 0.6436 0.1010 0.3537  5 Ag 3.01-3.21, 4 Tm 3.01-3.12, 1 Pm 3.14
Ag 0.1436 0.3537 0.1010  5 Ag 3.01-3.21, 4 Tm 3.01-3.12, 1 Pm 3.14
Pm 0.7500 0.8744 0.1256  10 Ag 3.10-3.24
Pm 0.2500 0.1256 0.8744  10 Ag 3.10-3.24
Tm 0.5877 0.4571 0.2099  10 Ag 3.00-3.12
Tm 0.9123 0.7901 0.5429  10 Ag 3.00-3.12
Tm 0.0877 0.2099 0.4571  10 Ag 3.00-3.12
Tm 0.4123 0.5429 0.7901  10 Ag 3.00-3.12


Here is crystalline PmTmAg2 at its relaxed geometry from Alexandria. Energies are from PBE.

## Properties
- M_tot: 0.0 μB per formula unit
- ΔH_f (0 K): -119.1 kJ/mol of formula units
- Space group: P4/mmm (123)
- Relative energy among the computed polymorphs: 0.00 kJ per mole of atoms

Unit cell a=3.6072 b=3.6072 c=7.5081 alpha=90.00 beta=90.00 gamma=90.00
Last column: nearest neighbours and their distance in Å.
Fractional positions:
Pm 0.5000 0.5000 0.5000  8 Ag 3.27, 4 Pm 3.61
Ag 0.0000 0.0000 0.7719  4 Tm 3.07, 4 Pm 3.27, 1 Ag 3.43
Ag 0.0000 0.0000 0.2281  4 Tm 3.07, 4 Pm 3.27, 1 Ag 3.43
Tm 0.5000 0.5000 0.0000  8 Ag 3.07


Here is crystalline Pm2TmAg at its relaxed geometry from Alexandria. Energies are from PBE.

## Properties
- M_tot: 0.0 μB per formula unit
- ΔH_f (0 K): -43.7 kJ/mol of formula units
- Space group: Cmcm (63)
- Relative energy among the computed polymorphs: 0.00 kJ per mole of atoms

Unit cell a=3.7277 b=6.5010 c=10.0580 alpha=90.00 beta=90.00 gamma=106.66
Last column: nearest neighbours and their distance in Å.
Fractional positions:
Ag 0.7519 0.5038 0.7500  2 Tm 3.07, 6 Pm 3.12-3.36
Ag 0.2481 0.4962 0.2500  2 Tm 3.07, 6 Pm 3.12-3.36
Pm 0.3693 0.7386 0.5488  3 Ag 3.12-3.36, 1 Pm 3.40
Pm 0.6307 0.2614 0.0488  3 Ag 3.12-3.36, 1 Pm 3.40
Pm 0.6307 0.2614 0.4512  3 Ag 3.12-3.36, 1 Pm 3.40
Pm 0.3693 0.7386 0.9512  3 Ag 3.12-3.36, 1 Pm 3.40
Tm 0.0566 0.1132 0.7500  2 Ag 3.07
Tm 0.9434 0.8868 0.2500  2 Ag 3.07


Here is crystalline Pm2TmAg at its relaxed geometry from Alexandria. Energies are from PBE.

## Properties
- M_tot: 0.0 μB per formula unit
- ΔH_f (0 K): 18.0 kJ/mol of formula units
- Space group: Fm-3m (225)
- Relative energy among the computed polymorphs: 15.41 kJ per mole of atoms

Unit cell a=5.4418 b=5.4418 c=5.4418 alpha=60.00 beta=60.00 gamma=60.00
Last column: nearest neighbours and their distance in Å.
Fractional positions:
Ag 0.5000 0.5000 0.5000  8 Pm 3.33
Pm 0.2500 0.2500 0.2500  4 Ag 3.33, 4 Tm 3.33
Pm 0.7500 0.7500 0.7500  4 Tm 3.33, 4 Ag 3.33
Tm 0.0000 0.0000 0.0000  8 Pm 3.33


Here is crystalline Pm2Tm3Ag3 at its relaxed geometry from Alexandria. Energies are from PBE.

## Properties
- M_tot: 0.0 μB per formula unit
- ΔH_f (0 K): -153.9 kJ/mol of formula units
- Space group: Immm (71)

Unit cell a=3.6887 b=5.2203 c=11.2270 alpha=103.44 beta=99.46 gamma=90.00
Last column: nearest neighbours and their distance in Å.
Fractional positions:
Tm 0.6174 0.6174 0.2349  6 Ag 3.13-3.20
Tm 0.3826 0.3826 0.7651  6 Ag 3.13-3.20
Tm 0.5000 0.0000 0.0000  8 Ag 3.04-3.20
Ag 0.1123 0.1123 0.2247  6 Tm 3.04-3.20, 2 Pm 3.15
Ag 0.0000 0.5000 0.0000  8 Tm 3.13-3.20
Ag 0.8877 0.8877 0.7753  6 Tm 3.04-3.20, 2 Pm 3.15
Pm 0.2690 0.7690 0.5381  2 Ag 3.15, 4 Pm 3.30
Pm 0.7310 0.2310 0.4619  2 Ag 3.15, 4 Pm 3.30


Here is crystalline Pm3TmAg2 at its relaxed geometry from Alexandria. Energies are from PBE.

## Properties
- M_tot: 0.0 μB per formula unit
- ΔH_f (0 K): -95.5 kJ/mol of formula units
- Space group: Pmc2_1 (26)

Unit cell a=5.2110 b=6.9519 c=9.3398 alpha=90.00 beta=90.00 gamma=90.00
Last column: nearest neighbours and their distance in Å.
Fractional positions:
Pm 0.5000 0.6592 0.1719  4 Ag 3.02-3.19
Pm 0.5000 0.1592 0.8281  4 Ag 3.02-3.19
Pm 0.0000 0.4912 0.9395  3 Ag 3.09-3.20
Pm 0.0000 0.8384 0.6644  4 Ag 2.98-3.19
Pm 0.0000 0.3384 0.3356  4 Ag 2.98-3.19
Pm 0.0000 0.9912 0.0605  3 Ag 3.09-3.20
Ag 0.0000 0.7746 0.3491  5 Pm 2.98-3.19, 2 Tm 3.20
Ag 0.0000 0.2746 0.6509  5 Pm 2.98-3.19, 2 Tm 3.20
Ag 0.5000 0.7255 0.8420  6 Pm 3.02-3.20, 1 Tm 3.04
Ag 0.5000 0.2255 0.1580  6 Pm 3.02-3.20, 1 Tm 3.04
Tm 0.5000 0.5110 0.5588  3 Ag 3.04-3.20
Tm 0.5000 0.0110 0.4412  3 Ag 3.04-3.20


Here is crystalline Pm2TmAg3 at its relaxed geometry from Alexandria. Energies are from PBE.

## Properties
- M_tot: 0.0 μB per formula unit
- ΔH_f (0 K): -170.9 kJ/mol of formula units
- Space group: P4/mmm (123)

Unit cell a=3.6522 b=3.6522 c=11.2137 alpha=90.00 beta=90.00 gamma=90.00
Last column: nearest neighbours and their distance in Å.
Fractional positions:
Tm 0.5000 0.5000 0.5000  8 Ag 3.09
Ag 0.0000 0.0000 0.6518  4 Tm 3.09, 4 Pm 3.25, 1 Ag 3.40
Ag 0.0000 0.0000 0.3482  4 Tm 3.09, 4 Pm 3.25, 1 Ag 3.40
Ag 0.0000 0.0000 0.0000  8 Pm 3.22
Pm 0.5000 0.5000 0.8283  8 Ag 3.22-3.25
Pm 0.5000 0.5000 0.1717  8 Ag 3.22-3.25